# 1
Computed, not measured: a relaxed ZrTc2Ru crystal at the PBE-GGA level of DFT.

Summary:
energy of formation	4	kJ per mole of atoms
energy relative to the lowest polymorph listed for this composition	98.3	meV/atom
N(E_F)	4.49	states/eV per cell

Unit cell a=2.818 b=4.329 c=5.384 alpha=90.00 beta=101.96 gamma=90.00
Space group Pm (No. 6)
Symmetry-distinct sites (fractional):
Zr  0.000  0.000  0.000 x1
Tc  0.190  0.500  0.721 x1
Tc  0.470  0.000  0.511 x1
Ru  0.790  0.500  0.237 x1

---

# 2
Computed, not measured: a relaxed Dy6Te5Se crystal at the PBE-GGA level of DFT.

Summary:
N(E_F)	8.78	states/eV per cell
final energy	-5.2712	eV per atom

Unit cell a=7.477 b=12.973 c=7.453 alpha=90.00 beta=109.32 gamma=90.00
Space group C2/m (No. 12)
Symmetry-distinct sites (fractional):
Dy  0.220  0.000  0.260 x4
Dy  0.225  0.152  0.727 x8
Te  0.000  0.178  0.000 x4
Te  0.000  0.337  0.500 x4
Te  0.000  0.500  0.000 x2
Se  0.000  0.000  0.500 x2

---

# 3
Computed, not measured: a relaxed BaTl2PtBr crystal at the PBE-GGA level of DFT.

Summary:
N(E_F)	2.31	states/eV per cell
final energy	-3.5944	eV per atom

Unit cell a=5.278 b=5.278 c=6.448 alpha=90.00 beta=90.00 gamma=90.00
Space group P4/mmm (No. 123)
Symmetry-distinct sites (fractional):
Ba  0.000  0.000  0.000 x1
Tl  0.000  0.500  0.500 x2
Pt  0.000  0.000  0.500 x1
Br  0.500  0.500  0.000 x1

---

- The lowest N(E_F) belongs to which entry?
  BaTl2PtBr